Compound: MnCo4Ir
Source: Alexandria
Functional: GGA-PBE
Structure: optimized geometry

Lattice parameters (Å, degrees): 6.6365 6.6365 6.6365 90.00 90.00 90.00
Closest atoms and distances in Å follow each position.
Space group F-43m (No. 216)
Inequivalent atoms, fractional coordinates:
Mn 0.0000 0.0000 0.0000 [4 per cell]  12 Co 2.75, 4 Ir 2.87
Co 0.1257 0.1257 0.3743 [16 per cell]  6 Co 2.33-2.36
Ir 0.2500 0.2500 0.7500 [4 per cell]  12 Co 2.75, 4 Mn 2.87

Computed properties:
DFT formation energy (eV per atom): 0.059